A plane-wave DFT calculation with PBE-GGA was carried out for crystalline DyYC at its relaxed geometry.

Computed properties:
polymorph energy (0 for the lowest one): 0.000 eV/atom
calculated volume: 138 Å³/cell
magnetic moment: 0.126 μB per atom

Structure (CIF):
```
data_DyYC
_chemical_formula_sum 'Dy2 Y2 C2'
_symmetry_space_group_name_H-M 'P 1'
_symmetry_Int_Tables_number 1
_symmetry_space_group_name_Hall 'P 1'
_cell_length_a 6.482
_cell_length_b 6.482
_cell_length_c 6.234
_cell_angle_alpha 99.30
_cell_angle_beta 99.30
_cell_angle_gamma 32.26
loop_
_atom_site_label
_atom_site_fract_x
_atom_site_fract_y
_atom_site_fract_z
C1 0.500 0.500 0.000
C2 0.000 0.000 0.500
Dy1 0.891 0.891 0.130
Y1 0.610 0.610 0.371
Y2 0.390 0.390 0.629
Dy2 0.109 0.109 0.870
```

***

A plane-wave DFT calculation with PBE-GGA was carried out for crystalline DyYC3 at its relaxed geometry.

Computed properties:
calculated volume: 71 Å³/cell
E_tot: -7.969 eV/atom
magnetic moment: 0.000 μB per atom

Structure (CIF):
```
data_DyYC3
_chemical_formula_sum 'Dy1 Y1 C3'
_symmetry_space_group_name_H-M 'P 1'
_symmetry_Int_Tables_number 1
_symmetry_space_group_name_Hall 'P 1'
_cell_length_a 3.617
_cell_length_b 3.617
_cell_length_c 5.947
_cell_angle_alpha 107.14
_cell_angle_beta 107.14
_cell_angle_gamma 89.99
loop_
_atom_site_label
_atom_site_fract_x
_atom_site_fract_y
_atom_site_fract_z
C1 0.131 0.131 0.256
C2 0.869 0.869 0.744
Dy1 0.656 0.656 0.307
C3 0.000 0.000 0.000
Y1 0.344 0.344 0.695
```

***

A plane-wave DFT calculation with PBE-GGA was carried out for crystalline ErC8 at its relaxed geometry.

Computed properties:
polymorph energy (0 for the lowest one): 0.003 eV/atom
calculated volume: 92 Å³/cell
magnetic moment: 0.000 μB per atom

Structure (CIF):
```
data_ErC8
_chemical_formula_sum 'Er1 C8'
_symmetry_space_group_name_H-M 'P 1'
_symmetry_Int_Tables_number 1
_symmetry_space_group_name_Hall 'P 1'
_cell_length_a 5.010
_cell_length_b 5.010
_cell_length_c 4.225
_cell_angle_alpha 90.00
_cell_angle_beta 90.00
_cell_angle_gamma 120.00
loop_
_atom_site_label
_atom_site_fract_x
_atom_site_fract_y
_atom_site_fract_z
C1 0.664 0.832 0.000
C2 0.832 0.168 0.000
C3 0.667 0.333 0.000
C4 0.336 0.168 0.000
C5 0.832 0.664 0.000
C6 0.333 0.667 0.000
Er1 0.000 0.000 0.500
C7 0.168 0.832 0.000
C8 0.168 0.336 0.000
```